This record from Alexandria describes crystalline SiNiBO2 at its relaxed geometry. The functional is GGA+U.

The structure in POSCAR format:
```
SiNiBO2
1.0
3.476 0.000 0.000
0.000 3.476 0.000
0.000 0.000 4.941
Si Ni B O
1 1 1 2
Direct
0.000 0.000 0.000 Si
0.000 0.000 0.500 Ni
0.500 0.500 0.000 B
0.000 0.500 0.500 O
0.500 0.000 0.500 O
```

Calculated total energy   -4.138 eV/atom
Symmetry   P4/mmm (123)
Density   3.6 Mg/m³